Record 1
Below is an optimized crystal structure of Pr4CoGeCl2, with properties calculated at the GGA-PBE level.

Summary:
VASP energy	-5.303	eV/atom
space-group type	P2/m
magnetic moment	0.00	Bohr magnetons per cell

Lattice parameters (Å, degrees): 7.463 4.095 7.593 90.00 107.41 90.00
Sites, in units of the cell vectors:
Pr (0.219, 0.000, 0.207)
Pr (0.244, 0.500, 0.783)
Pr (0.756, 0.500, 0.217)
Pr (0.781, 0.000, 0.793)
Co (0.000, 0.500, 0.000)
Ge (0.500, 0.000, 0.000)
Cl (0.000, 0.000, 0.500)
Cl (0.500, 0.500, 0.500)

Record 2
Below is an optimized crystal structure of LiSnTe2, with properties calculated at the GGA-PBE level.

Summary:
VASP energy	-3.499	eV/atom
space-group type	R3m
magnetic moment	0.00	Bohr magnetons per cell

Lattice parameters (Å, degrees): 4.232 4.232 22.340 90.00 90.00 120.00
Sites, in units of the cell vectors:
Li (0.000, 0.000, 0.000)
Li (0.333, 0.667, 0.667)
Li (0.667, 0.333, 0.333)
Sn (0.000, 0.000, 0.832)
Sn (0.333, 0.667, 0.498)
Sn (0.667, 0.333, 0.165)
Te (0.000, 0.000, 0.249)
Te (0.000, 0.000, 0.414)
Te (0.333, 0.667, 0.081)
Te (0.333, 0.667, 0.916)
Te (0.667, 0.333, 0.583)
Te (0.667, 0.333, 0.747)